Computed, not measured: an optimized crystal structure of ThPa2Rh at the GGA-PBE level of DFT.

As for the crystal system: tetragonal. The calculated formation energy comes out at -0.27 eV/atom. The energy above the most stable polymorph in this dataset is 0 meV/atom. The calculation puts the total energy at -8.71 eV per atom.

Cell lengths 3.5836, 3.5836, 7.6698 Å; angles 90.00, 90.00, 90.00 degrees
Last column: nearest neighbours and their distance in Å.
Sites, in units of the cell vectors:
Pa  0.0000  0.0000  0.8026  4 Rh 2.95, 1 Pa 3.03
Th  0.5000  0.5000  0.5000  8 Pa 3.44, 4 Th 3.58, 2 Rh 3.83
Pa  0.0000  0.0000  0.1974  4 Rh 2.95, 1 Pa 3.03
Rh  0.5000  0.5000  0.0000  8 Pa 2.95